Compound: DyMgZn
Source: the Alexandria database
Functional: PBE
Structure: relaxed

## Properties
V in Å³ per cell: 136.42
Final energy in eV per atom: -2.652
DFT formation energy in eV per atom: -0.162
Crystal system: tetragonal

CIF file:
```
data_DyMgZn
_chemical_formula_sum 'Dy2 Mg2 Zn2'
_space_group_name_H-M_alt 'I 4 m m'
_space_group_IT_number 107
_space_group_name_Hall 'I 4 -2'
_cell_length_a 3.352
_cell_length_b 3.352
_cell_length_c 12.144
_cell_angle_alpha 90.00
_cell_angle_beta 90.00
_cell_angle_gamma 90.00
loop_
_atom_site_label
_atom_site_type_symbol
_atom_site_fract_x
_atom_site_fract_y
_atom_site_fract_z
Dy1 Dy 0.000 0.000 0.000
Mg1 Mg 0.000 0.000 0.704
Zn1 Zn 0.000 0.000 0.342
```

Compound: LaSc2Cr
Source: the Alexandria database
Functional: PBE
Structure: relaxed

## Properties
V in Å³ per cell: 100.21
Final energy in eV per atom: -6.550
Offset from the most stable computed form in meV/atom: 72
DFT formation energy in eV per atom: 0.253
Crystal system: tetragonal

CIF file:
```
data_LaSc2Cr
_chemical_formula_sum 'La1 Sc2 Cr1'
_space_group_name_H-M_alt 'P 4 m m'
_space_group_IT_number 99
_cell_length_a 3.665
_cell_length_b 3.665
_cell_length_c 7.461
_cell_angle_alpha 90.00
_cell_angle_beta 90.00
_cell_angle_gamma 90.00
loop_
_space_group_symop_operation_xyz
'x,y,z'
'-y,x,z'
'-x,-y,z'
'y,-x,z'
'-x,y,z'
'y,x,z'
'x,-y,z'
'-y,-x,z'
loop_
_atom_site_label
_atom_site_type_symbol
_atom_site_fract_x
_atom_site_fract_y
_atom_site_fract_z
La1 La 0.000 0.000 0.000
Sc1 Sc 0.000 0.000 0.558
Sc2 Sc 0.500 0.500 0.313
Cr1 Cr 0.500 0.500 0.734
```

Compound: Cs2KBiCl
Source: the Alexandria database
Functional: PBE
Structure: relaxed

## Properties
V in Å³ per cell: 261.84
Final energy in eV per atom: -2.547
Formation energy without anion corrections in meV per atom: -840.6
Crystal system: tetragonal

CIF file:
```
data_Cs2KBiCl
_chemical_formula_sum 'Cs2 K1 Bi1 Cl1'
_space_group_name_H-M_alt 'P 4/m m m'
_space_group_IT_number 123
_space_group_name_Hall '-P 4 2'
_cell_length_a 6.620
_cell_length_b 6.620
_cell_length_c 5.976
_cell_angle_alpha 90.00
_cell_angle_beta 90.00
_cell_angle_gamma 90.00
loop_
_atom_site_label
_atom_site_type_symbol
_atom_site_fract_x
_atom_site_fract_y
_atom_site_fract_z
Cs1 Cs 0.000 0.500 0.000
K1 K 0.000 0.000 0.500
Bi1 Bi 0.500 0.500 0.500
Cl1 Cl 0.000 0.000 0.000
```

Compound: BaNbAs2
Source: the Alexandria database
Functional: PBE
Structure: relaxed

## Properties
V in Å³ per cell: 300.32
Final energy in eV per atom: -5.995
Offset from the most stable computed form in meV/atom: 0
DFT formation energy in eV per atom: -0.672
Crystal system: trigonal

CIF file:
```
data_BaNbAs2
_chemical_formula_sum 'Ba3 Nb3 As6'
_space_group_name_H-M_alt 'R -3 m'
_space_group_IT_number 166
_space_group_name_Hall '-R 3 2"'
_cell_length_a 3.9379
_cell_length_b 3.9379
_cell_length_c 22.3622
_cell_angle_alpha 90.00
_cell_angle_beta 90.00
_cell_angle_gamma 120.00
loop_
_atom_site_label
_atom_site_type_symbol
_atom_site_fract_x
_atom_site_fract_y
_atom_site_fract_z
Ba1 Ba 0.0000 0.0000 0.0000
Nb1 Nb 0.0000 0.0000 0.5000
As1 As 0.0000 0.0000 0.2317
```

Compound: BaH6Pt2Pb
Source: the Alexandria database
Functional: PBE
Structure: relaxed

## Properties
V in Å³ per cell: 593.30
Final energy in eV per atom: -3.991
Crystal system: monoclinic

CIF file:
```
data_BaH6Pt2Pb
_chemical_formula_sum 'Ba4 H24 Pt8 Pb4'
_space_group_name_H-M_alt 'C 1 2/c 1'
_space_group_IT_number 15
_cell_length_a 9.417
_cell_length_b 9.595
_cell_length_c 7.231
_cell_angle_alpha 90.00
_cell_angle_beta 114.75
_cell_angle_gamma 90.00
loop_
_space_group_symop_operation_xyz
'x,y,z'
'-x,-y,-z'
'-x,y,-z+1/2'
'x,-y,z+1/2'
'x+1/2,y+1/2,z'
'-x+1/2,-y+1/2,-z'
'-x+1/2,y+1/2,-z+1/2'
'x+1/2,-y+1/2,z+1/2'
loop_
_atom_site_label
_atom_site_type_symbol
_atom_site_fract_x
_atom_site_fract_y
_atom_site_fract_z
Ba1 Ba 0.000 0.158 0.250
H1 H 0.127 0.207 0.701
H2 H 0.138 0.308 0.053
H3 H 0.157 0.016 0.058
Pt1 Pt 0.241 0.415 0.245
Pb1 Pb 0.000 0.424 0.750
```

Compound: NpGa2Au2
Source: the Alexandria database
Functional: PBE
Structure: relaxed

## Properties
V in Å³ per cell: 204.43
Final energy in eV per atom: -5.336
Offset from the most stable computed form in meV/atom: 0
DFT formation energy in eV per atom: -0.226
Crystal system: tetragonal

CIF file:
```
data_NpGa2Au2
_chemical_formula_sum 'Np2 Ga4 Au4'
_space_group_name_H-M_alt 'P 4/n m m'
_space_group_IT_number 129
_cell_length_a 4.372
_cell_length_b 4.372
_cell_length_c 10.697
_cell_angle_alpha 90.00
_cell_angle_beta 90.00
_cell_angle_gamma 90.00
loop_
_space_group_symop_operation_xyz
'x,y,z'
'-x,-y,-z'
'-y+1/2,x,z'
'y+1/2,-x,-z'
'-x+1/2,-y+1/2,z'
'x+1/2,y+1/2,-z'
'y,-x+1/2,z'
'-y,x+1/2,-z'
'x+1/2,-y,-z'
'-x+1/2,y,z'
'-y,-x,-z'
'y,x,z'
'-x,y+1/2,-z'
'x,-y+1/2,z'
'y+1/2,x+1/2,-z'
'-y+1/2,-x+1/2,z'
loop_
_atom_site_label
_atom_site_type_symbol
_atom_site_fract_x
_atom_site_fract_y
_atom_site_fract_z
Np1 Np 0.250 0.250 0.247
Ga1 Ga 0.250 0.250 0.866
Ga2 Ga 0.250 0.750 0.500
Au1 Au 0.250 0.250 0.633
Au2 Au 0.250 0.750 0.000
```